# 1
First-principles (PBE) data for an optimized crystal structure of Sc2Ta3Ge4, as listed in the Alexandria database.

Structure (CIF):
```
data_Sc2Ta3Ge4
_chemical_formula_sum 'Sc4 Ta6 Ge8'
_space_group_name_H-M_alt 'P 1'
_space_group_IT_number 1
_cell_length_a 6.8593
_cell_length_b 7.0231
_cell_length_c 7.0284
_cell_angle_alpha 90.00
_cell_angle_beta 90.00
_cell_angle_gamma 109.71
loop_
_space_group_symop_operation_xyz
'x,y,z'
loop_
_atom_site_label
_atom_site_fract_x
_atom_site_fract_y
_atom_site_fract_z
_atom_site_occupancy
Ta1 0.2444 0.2535 0.6788 1
Ta2 0.5000 0.5000 0.0000 1
Ta3 0.7556 0.7465 0.3212 1
Ta4 0.0000 0.5000 0.5000 1
Ta5 0.2556 0.7465 0.1788 1
Ta6 0.7444 0.2535 0.8212 1
Ge1 0.6368 0.5204 0.6334 1
Ge2 0.1368 0.5204 0.8666 1
Ge3 0.8632 0.4796 0.1334 1
Ge4 0.3489 0.0812 0.9706 1
Ge5 0.3632 0.4796 0.3666 1
Ge6 0.6511 0.9188 0.0294 1
Ge7 0.8489 0.0812 0.5294 1
Ge8 0.1511 0.9188 0.4706 1
Sc1 0.4461 0.8160 0.6708 1
Sc2 0.0539 0.1840 0.1708 1
Sc3 0.9461 0.8160 0.8292 1
Sc4 0.5539 0.1840 0.3292 1
```

Calculated values
formation enthalpy at 0 K	-0.629	eV/atom
raw total energy	-8.039	eV/atom
space-group type	P2_1/c (14)

***

# 2
First-principles (PBE) data for an optimized crystal structure of CeHg2F11, as listed in the Alexandria database.

Structure (CIF):
```
data_CeHg2F11
_chemical_formula_sum 'Ce2 Hg4 F22'
_space_group_name_H-M_alt 'P 1'
_space_group_IT_number 1
_cell_length_a 8.6775
_cell_length_b 8.6953
_cell_length_c 8.6953
_cell_angle_alpha 73.86
_cell_angle_beta 60.07
_cell_angle_gamma 60.07
loop_
_space_group_symop_operation_xyz
'x,y,z'
loop_
_atom_site_label
_atom_site_fract_x
_atom_site_fract_y
_atom_site_fract_z
_atom_site_occupancy
Hg1 0.7974 0.2121 0.7879 1
Hg2 0.2026 0.7879 0.2121 1
Hg3 0.7026 0.7121 0.2879 1
Hg4 0.2974 0.2879 0.7121 1
F1 0.7615 0.4764 0.8034 1
F2 0.8301 0.9471 0.7849 1
F3 0.2615 0.3034 0.9764 1
F4 0.9379 0.4471 0.2849 1
F5 0.6699 0.7151 0.5529 1
F6 0.0413 0.1966 0.5236 1
F7 0.5413 0.0236 0.6966 1
F8 0.9263 0.8458 0.1542 1
F9 0.0000 0.0000 0.0000 1
F10 0.7385 0.6966 0.0236 1
F11 0.0621 0.5529 0.7151 1
F12 0.5000 0.5000 0.5000 1
F13 0.4263 0.6542 0.3458 1
F14 0.5621 0.2151 0.0529 1
F15 0.5737 0.3458 0.6542 1
F16 0.2385 0.5236 0.1966 1
F17 0.1699 0.0529 0.2151 1
F18 0.0737 0.1542 0.8458 1
F19 0.4379 0.7849 0.9471 1
F20 0.4587 0.9764 0.3034 1
F21 0.3301 0.2849 0.4471 1
F22 0.9587 0.8034 0.4764 1
Ce1 0.7500 0.7500 0.7500 1
Ce2 0.2500 0.2500 0.2500 1
```

Calculated values
formation energy without anion corrections	-1.9002	eV per atom
raw total energy	-3.837	eV/atom
space-group type	Ibam (72)

***

# 3
First-principles (PBE) data for an optimized crystal structure of TbNd4Er2, as listed in the Alexandria database.

Structure (CIF):
```
data_TbNd4Er2
_chemical_formula_sum 'Tb2 Nd8 Er4'
_space_group_name_H-M_alt 'P 1'
_space_group_IT_number 1
_cell_length_a 12.5730
_cell_length_b 12.5730
_cell_length_c 6.8169
_cell_angle_alpha 97.01
_cell_angle_beta 97.01
_cell_angle_gamma 150.17
loop_
_space_group_symop_operation_xyz
'x,y,z'
loop_
_atom_site_label
_atom_site_fract_x
_atom_site_fract_y
_atom_site_fract_z
_atom_site_occupancy
Er1 0.6219 0.3040 0.4503 1
Er2 0.9212 0.1034 0.0493 1
Er3 0.3040 0.6219 0.9503 1
Er4 0.1034 0.9212 0.5493 1
Nd1 0.5621 0.5996 0.1374 1
Nd2 0.7122 0.1748 0.8641 1
Nd3 0.0395 0.1483 0.6032 1
Nd4 0.1748 0.7122 0.3641 1
Nd5 0.1853 0.7944 0.8973 1
Nd6 0.7944 0.1853 0.3973 1
Nd7 0.1483 0.0395 0.1032 1
Nd8 0.5996 0.5621 0.6374 1
Tb1 0.6722 0.4223 0.9998 1
Tb2 0.4223 0.6722 0.4998 1
```

Calculated values
formation enthalpy at 0 K	0.060	eV/atom
raw total energy	-4.630	eV/atom
space-group type	Cc (9)
offset from the most stable computed form	0	meV/atom